Record 1
Computed, not measured: crystalline CsKPuBr4 at its relaxed geometry at the PBE level of DFT.

abc: 5.834 5.834 9.741
angles: 107.43 107.43 90.00
Site moments in Bohr magnetons follow the coordinates.
Sites, in units of the cell vectors:
Pu: 0.002 0.002 0.005  5.75
Br: 0.995 0.495 0.990  -0.02
Cs: 0.639 0.639 0.279  0.00
Br: 0.172 0.172 0.344  -0.01
Br: 0.495 0.995 0.990  -0.02
Br: 0.835 0.835 0.671  -0.01
K: 0.361 0.361 0.721  0.00

Properties
energy relative to the elements, uncorrected = -1.57 eV per atom
V = 42.90 Å³ per atom
raw total energy = -34.0 eV for the cell shown

---

Record 2
Computed, not measured: crystalline CsKPuBr6 at its relaxed geometry at the PBE level of DFT.

abc: 8.178 8.178 14.662
angles: 90.00 90.00 120.00
Site moments in Bohr magnetons follow the coordinates.
Sites, in units of the cell vectors:
Br: 0.604 0.948 0.860  -0.07
Br: 0.604 0.656 0.640  -0.07
Pu: 0.333 0.667 0.750  4.49
Br: 0.396 0.344 0.360  -0.07
Br: 0.052 0.656 0.860  -0.07
Br: 0.396 0.052 0.140  -0.07
Cs: 0.000 0.000 0.500  0.00
Pu: 0.667 0.333 0.250  4.49
Br: 0.656 0.604 0.140  -0.07
K: 0.333 0.667 0.250  0.00
Br: 0.948 0.344 0.140  -0.07
Cs: 0.000 0.000 0.000  0.00
Br: 0.656 0.052 0.360  -0.07
Br: 0.052 0.396 0.640  -0.07
K: 0.667 0.333 0.750  0.00
Br: 0.948 0.604 0.360  -0.07
Br: 0.344 0.948 0.640  -0.07
Br: 0.344 0.396 0.860  -0.07

Properties
energy relative to the elements, uncorrected = -1.55 eV per atom
V = 47.17 Å³ per atom
raw total energy = -80.6 eV for the cell shown

---

Record 3
Computed, not measured: crystalline CsKRb2Br at its relaxed geometry at the PBE level of DFT.

abc: 7.216 7.216 6.932
angles: 90.00 90.00 90.00
Sites, in units of the cell vectors:
K: 0.000 0.000 0.500
Br: 0.000 0.000 0.000
Rb: 0.000 0.500 0.000
Rb: 0.500 0.000 0.000
Cs: 0.500 0.500 0.500

Properties
energy above the most stable polymorph in this dataset = 21.8 kJ/mol of formula units
energy relative to the elements, uncorrected = -0.61 eV per atom
V = 72.20 Å³ per atom
raw total energy = -8.6 eV for the cell shown

---

Record 4
Computed, not measured: crystalline Cs6KRb2Br at its relaxed geometry at the PBE level of DFT.

abc: 11.322 11.318 11.344
angles: 120.28 120.29 89.82
Sites, in units of the cell vectors:
Cs: 0.773 0.230 0.001
Rb: 0.753 0.250 0.502
Cs: 0.231 0.231 0.005
K: 0.497 0.498 0.994
Br: 0.999 0.999 0.998
Cs: 0.228 0.228 0.454
Cs: 0.772 0.772 0.999
Cs: 0.229 0.773 0.001
Cs: 0.769 0.769 0.540
Rb: 0.249 0.753 0.503

Properties
energy relative to the elements, uncorrected = -0.28 eV per atom
V = 102.05 Å³ per atom
raw total energy = -12.6 eV for the cell shown